Material: CoTcO3
Method: DFT, GGA+U
State: relaxed

Cell: 3.872 3.872 3.872 Å, 90.00 90.00 90.00°
Element x y z (fractional)
Co  0.000  0.000  0.000
Tc  0.500  0.500  0.500
O  0.000  0.500  0.500
O  0.500  0.000  0.500
O  0.500  0.500  0.000

Results
The value obtained for the energy is -6.727 eV per atom.